Compound: Mg6CoC
Source: Alexandria
Functional: meta-GGA SCAN
Structure: PBEsol geometry

Cell lengths 3.157, 6.863, 6.863 Å; angles 109.63, 90.00, 90.00 degrees
Positions (direct):
Mg 0.500 0.338 0.006
Mg 0.000 0.223 0.410
Mg 0.000 0.638 0.362
C 0.500 0.338 0.662
Mg 0.500 0.856 0.144
Co 0.000 0.023 0.977
Mg 0.500 0.994 0.662
Mg 0.000 0.590 0.777

Computed properties:
DOS at the Fermi energy: 0.520 states/eV per atom
ΔE_f: 0.3907 eV per atom
Theoretical density: 2.6 Mg/m³